First-principles (PBE) data for a relaxed HfAgN2F crystal, as listed in Alexandria via LeMat-Bulk.

Calculated values
For the calculated volume, the calculation gives 73.3 Å³/f.u. As for the offset from the most stable computed form: 0 meV per atom. The energy relative to the elements, uncorrected is -0.508 eV/atom. The value obtained for the density of states at the Fermi level is 2.72 states/eV per cell.

Geometry as CIF:
```
data_HfAgN2F
_space_group_name_H-M_alt 'P 4/m m m'
_space_group_IT_number 123
_space_group_name_Hall '-P 4 2'
_cell_length_a 4.2163
_cell_length_b 4.2163
_cell_length_c 4.1208
_cell_angle_alpha 90.00
_cell_angle_beta 90.00
_cell_angle_gamma 90.00
loop_
_atom_site_label
_atom_site_type_symbol
_atom_site_fract_x
_atom_site_fract_y
_atom_site_fract_z
Hf1 Hf 0.0000 0.0000 0.0000
Ag1 Ag 0.5000 0.5000 0.5000
N1 N 0.0000 0.5000 0.0000
F1 F 0.0000 0.0000 0.5000
```